(1)
The following is a PBE-GGA calculation of crystalline SrIrRh2 at its relaxed geometry, from Alexandria via LeMat-Bulk.

Cell lengths 2.8794, 4.8054, 10.3179 Å; angles 90.00, 90.00, 90.00 degrees
Closest atoms and distances in Å follow each position.
Space group Imm2 (No. 44)
One atom of each set of equivalent atoms:
Sr  0.0000  0.0000  0.0000 (multiplicity 2)  4 Rh 2.80, 2 Sr 2.88
Ir  0.0000  0.5000  0.7785 (multiplicity 2)  6 Rh 2.67-2.86, 2 Ir 2.88
Rh  0.0000  0.0000  0.4966 (multiplicity 2)  2 Ir 2.67, 4 Rh 2.75-2.88, 4 Sr 2.80
Rh  0.0000  0.5000  0.2236 (multiplicity 2)  4 Rh 2.75-2.88, 4 Ir 2.86

Output
DFT formation energy = 0.2373 eV/atom
N(E_F) = 5.319 states/eV/f.u.
Magnetic moment = 0.0 μB/cell
E_tot = -6.074 eV/atom

(2)
The following is a PBE-GGA calculation of crystalline CaMgIr3 at its relaxed geometry, from Alexandria via LeMat-Bulk.

Cell lengths 4.6192, 4.6192, 4.6192 Å; angles 90.00, 90.00, 90.00 degrees
Closest atoms and distances in Å follow each position.
Space group Pm-3m (No. 221)
One atom of each set of equivalent atoms:
Ca  0.0000  0.0000  0.0000 (multiplicity 1)  12 Ir 3.27
Mg  0.5000  0.5000  0.5000 (multiplicity 1)  6 Ir 2.31
Ir  0.0000  0.5000  0.5000 (multiplicity 3)  2 Mg 2.31

Output
DFT formation energy = 0.8995 eV/atom
N(E_F) = 5.021 states/eV/f.u.
Magnetic moment = 0.0 μB/cell
E_tot = -5.136 eV/atom

(3)
The following is a PBE-GGA calculation of crystalline BaFe2PbBr8 at its relaxed geometry, from Alexandria via LeMat-Bulk.

Cell lengths 7.8314, 7.8314, 9.2894 Å; angles 90.00, 90.00, 120.00 degrees
Closest atoms and distances in Å follow each position.
Space group P-3m1 (No. 164)
One atom of each set of equivalent atoms:
Ba  0.0000  0.0000  0.0000 (multiplicity 1)  6 Br 3.36
Fe  0.3333  0.6667  0.1849 (multiplicity 2)  4 Br 2.35-2.46
Pb  0.0000  0.0000  0.5000 (multiplicity 1)  6 Br 3.05
Br  0.1624  0.3249  0.2726 (multiplicity 6)  1 Fe 2.46
Br  0.3333  0.6667  0.9322 (multiplicity 2)  1 Fe 2.35

Output
N(E_F) = 13.403 states/eV/f.u.
Magnetic moment = 8.0 μB/cell
E_tot = -3.885 eV/atom

(4)
The following is a PBE-GGA calculation of crystalline LaAsRuO at its relaxed geometry, from Alexandria via LeMat-Bulk.

Cell lengths 4.1859, 4.1859, 9.0606 Å; angles 90.00, 90.00, 90.00 degrees
Closest atoms and distances in Å follow each position.
Space group P4/nmm (No. 129, origin choice 2)
One atom of each set of equivalent atoms:
La  0.2500  0.2500  0.2091 (multiplicity 2)  4 Ru 2.82
As  0.2500  0.2500  0.5606 (multiplicity 2)  4 O 2.16
Ru  0.2500  0.7500  0.0000 (multiplicity 2)  4 La 2.82, 4 Ru 2.96
O  0.2500  0.7500  0.5000 (multiplicity 2)  4 As 2.16

Output
N(E_F) = 3.563 states/eV/f.u.
Magnetic moment = 0.0 μB/cell
E_tot = -6.140 eV/atom

(5)
The following is a PBE-GGA calculation of crystalline ErPu2Ti at its relaxed geometry, from Alexandria via LeMat-Bulk.

Cell lengths 3.2164, 3.2164, 9.3421 Å; angles 90.00, 90.00, 90.00 degrees
Closest atoms and distances in Å follow each position.
Space group P4/mmm (No. 123)
One atom of each set of equivalent atoms:
Er  0.0000  0.0000  0.0000 (multiplicity 1)  4 Er 3.22, 8 Pu 3.45
Pu  0.5000  0.5000  0.2779 (multiplicity 2)  4 Ti 3.08, 4 Pu 3.22
Ti  0.0000  0.0000  0.5000 (multiplicity 1)  8 Pu 3.08, 4 Ti 3.22

Output
DFT formation energy = 0.1934 eV/atom
N(E_F) = 12.273 states/eV/f.u.
Magnetic moment = 11.4 μB/cell
E_tot = -10.087 eV/atom

(6)
The following is a PBE-GGA calculation of crystalline Mg2TiS at its relaxed geometry, from Alexandria via LeMat-Bulk.

Cell lengths 7.9744, 7.9744, 4.9721 Å; angles 90.00, 90.00, 90.00 degrees
Closest atoms and distances in Å follow each position.
Space group I-42d (No. 122)
One atom of each set of equivalent atoms:
Mg  0.1781  0.2500  0.1250 (multiplicity 8)  2 S 2.53, 2 Mg 2.74
Ti  0.0000  0.0000  0.5000 (multiplicity 4)  2 S 2.49
S  0.0000  0.0000  0.0000 (multiplicity 4)  2 Ti 2.49, 4 Mg 2.53

Output
N(E_F) = 3.956 states/eV/f.u.
Magnetic moment = 0.0 μB/cell
E_tot = -3.985 eV/atom